This record from Alexandria describes a relaxed structure of KYZn2. The functional is GGA-PBEsol.

a b c (Å): 4.939 4.939 4.939
angles (deg): 60.00 60.00 60.00
Atoms (fractional coordinates):
K (0.500, 0.500, 0.500)
Y (0.750, 0.750, 0.750)
Zn (0.000, 0.000, 0.000)
Zn (0.250, 0.250, 0.250)

Computed properties:
ΔE_f = 1.1 eV per formula unit
Final energy = -2.502 eV per atom
Mass density = 5.04 g/cm3